# KBaIn2Tc | Alexandria via LeMat-Bulk | PBE-GGA | relaxed
data_KBaIn2Tc
_space_group_name_H-M_alt 'P 4/m m m'
_space_group_IT_number 123
_space_group_name_Hall '-P 4 2'
_cell_length_a 6.2492
_cell_length_b 6.2492
_cell_length_c 6.3831
_cell_angle_alpha 90.00
_cell_angle_beta 90.00
_cell_angle_gamma 90.00
loop_
_atom_site_label
_atom_site_type_symbol
_atom_site_fract_x
_atom_site_fract_y
_atom_site_fract_z
K1 K 0.0000 0.0000 0.0000
Ba1 Ba 0.0000 0.0000 0.5000
In1 In 0.0000 0.5000 0.5000
Tc1 Tc 0.5000 0.5000 0.0000
# crystal system = tetragonal
# energy of formation = 1.644 eV/atom

---

# KBaIn2Te | Alexandria via LeMat-Bulk | PBE-GGA | relaxed
data_KBaIn2Te
_space_group_name_H-M_alt 'P 4/m m m'
_space_group_IT_number 123
_space_group_name_Hall '-P 4 2'
_cell_length_a 6.4649
_cell_length_b 6.4649
_cell_length_c 6.9266
_cell_angle_alpha 90.00
_cell_angle_beta 90.00
_cell_angle_gamma 90.00
loop_
_atom_site_label
_atom_site_type_symbol
_atom_site_fract_x
_atom_site_fract_y
_atom_site_fract_z
K1 K 0.0000 0.0000 0.0000
Ba1 Ba 0.0000 0.0000 0.5000
In1 In 0.0000 0.5000 0.5000
Te1 Te 0.5000 0.5000 0.0000
# ΔE_f (raw) = 0.567 eV per atom
# crystal system = tetragonal

---

# KBa2InTe4 | Alexandria via LeMat-Bulk | PBE-GGA | relaxed
data_KBa2InTe4
_space_group_name_H-M_alt 'I m m a'
_space_group_IT_number 74
_space_group_name_Hall '-I 2b 2'
_cell_length_a 9.6907
_cell_length_b 9.7947
_cell_length_c 13.5289
_cell_angle_alpha 90.00
_cell_angle_beta 90.00
_cell_angle_gamma 90.00
loop_
_atom_site_label
_atom_site_type_symbol
_atom_site_fract_x
_atom_site_fract_y
_atom_site_fract_z
K1 K 0.2500 0.2500 0.2500
Ba1 Ba 0.0000 0.0000 0.0000
Ba2 Ba 0.2500 0.2500 0.7500
In1 In 0.0000 0.0000 0.5000
Te1 Te 0.0000 0.0008 0.2841
Te2 Te 0.2371 0.2500 0.4984
# ΔE_f (raw) = -1.062 eV per atom
# crystal system = orthorhombic

---

# KBa2ZnIn | Alexandria via LeMat-Bulk | PBE-GGA | relaxed
data_KBa2ZnIn
_space_group_name_H-M_alt 'P 4/m m m'
_space_group_IT_number 123
_space_group_name_Hall '-P 4 2'
_cell_length_a 6.6302
_cell_length_b 6.6302
_cell_length_c 5.1747
_cell_angle_alpha 90.00
_cell_angle_beta 90.00
_cell_angle_gamma 90.00
loop_
_atom_site_label
_atom_site_type_symbol
_atom_site_fract_x
_atom_site_fract_y
_atom_site_fract_z
K1 K 0.0000 0.0000 0.0000
Ba1 Ba 0.0000 0.5000 0.5000
Zn1 Zn 0.5000 0.5000 0.5000
In1 In 0.5000 0.5000 0.0000
# crystal system = tetragonal
# energy of formation = -0.054 eV/atom

---

# BaLa4In5 | Alexandria via LeMat-Bulk | PBE-GGA | relaxed
data_BaLa4In5
_space_group_name_H-M_alt 'P 4/m m m'
_space_group_IT_number 123
_space_group_name_Hall '-P 4 2'
_cell_length_a 4.0037
_cell_length_b 4.0037
_cell_length_c 20.1965
_cell_angle_alpha 90.00
_cell_angle_beta 90.00
_cell_angle_gamma 90.00
loop_
_atom_site_label
_atom_site_type_symbol
_atom_site_fract_x
_atom_site_fract_y
_atom_site_fract_z
Ba1 Ba 0.0000 0.0000 0.0000
La1 La 0.0000 0.0000 0.2101
La2 La 0.0000 0.0000 0.4039
In1 In 0.5000 0.5000 0.1180
In2 In 0.5000 0.5000 0.3082
In3 In 0.5000 0.5000 0.5000
# crystal system = tetragonal
# energy of formation = -0.484 eV/atom

---

# BaLa2In | Alexandria via LeMat-Bulk | PBE-GGA | relaxed
data_BaLa2In
_space_group_name_H-M_alt 'P 4/m m m'
_space_group_IT_number 123
_space_group_name_Hall '-P 4 2'
_cell_length_a 3.8976
_cell_length_b 3.8976
_cell_length_c 10.3053
_cell_angle_alpha 90.00
_cell_angle_beta 90.00
_cell_angle_gamma 90.00
loop_
_atom_site_label
_atom_site_type_symbol
_atom_site_fract_x
_atom_site_fract_y
_atom_site_fract_z
Ba1 Ba 0.0000 0.0000 0.0000
La1 La 0.5000 0.5000 0.3074
In1 In 0.0000 0.0000 0.5000
# crystal system = tetragonal
# energy of formation = -0.144 eV/atom

---

# BaLa2In | Alexandria via LeMat-Bulk | PBE-GGA | relaxed
data_BaLa2In
_space_group_name_H-M_alt 'I 4/m m m'
_space_group_IT_number 139
_space_group_name_Hall '-I 4 2'
_cell_length_a 5.1835
_cell_length_b 5.1835
_cell_length_c 10.4400
_cell_angle_alpha 90.00
_cell_angle_beta 90.00
_cell_angle_gamma 90.00
loop_
_atom_site_label
_atom_site_type_symbol
_atom_site_fract_x
_atom_site_fract_y
_atom_site_fract_z
Ba1 Ba 0.0000 0.0000 0.0000
La1 La 0.0000 0.5000 0.2500
In1 In 0.0000 0.0000 0.5000
# crystal system = tetragonal
# energy of formation = -0.119 eV/atom

---

# BaLa2In6 | Alexandria via LeMat-Bulk | PBE-GGA | relaxed
data_BaLa2In6
_space_group_name_H-M_alt 'P 6/m m m'
_space_group_IT_number 191
_space_group_name_Hall '-P 6 2'
_cell_length_a 8.8828
_cell_length_b 8.8828
_cell_length_c 3.9300
_cell_angle_alpha 90.00
_cell_angle_beta 90.00
_cell_angle_gamma 120.00
loop_
_atom_site_label
_atom_site_type_symbol
_atom_site_fract_x
_atom_site_fract_y
_atom_site_fract_z
Ba1 Ba 0.0000 0.0000 0.0000
La1 La 0.3333 0.6667 0.0000
In1 In 0.0000 0.3384 0.5000
# crystal system = hexagonal
# energy of formation = -0.446 eV/atom

---

Size of the total moment per entry: 3.8, 0.0, 0.0, 0.0, 0.0, 0.0, 0.0, 0.0 Bohr magnetons per cell
Uncorrected energy per entry: -10.6, -8.8, -115.0, -9.2, -40.2, -15.1, -30.0, -32.2 eV/cell